PrHo2Tl3 PBE-GGA relaxed; crystal system = tetragonal; uncorrected energy = -3.8561 eV/atom; calculated volume = 27.80 Å³/atom
1.0
-0.6644 3.7195 -0.0015
-2.7610 -0.4922 2.5319
7.7073 1.3802 8.6731
Ho Pr Tl
2 1 3
direct
0.5000 0.5000 0.1607
0.5000 0.5000 0.8393
0.5000 0.5000 0.5000
0.0000 0.0000 0.0000
0.0000 0.0000 0.3199
0.0000 0.0000 0.6801

=====

PrHoTl PBE-GGA relaxed; crystal system = trigonal; uncorrected energy = -3.9403 eV/atom; calculated volume = 34.37 Å³/atom
1.0
2.6169 1.5109 4.3469
-2.6169 1.5109 4.3469
0.0000 -3.0218 4.3469
Ho Pr Tl
1 1 1
direct
0.6920 0.6920 0.6920
0.1950 0.1950 0.1950
0.4431 0.4431 0.4431